No. 1
Material: Tb2YSc
Method: DFT, PBE
State: relaxed

Calculated values
offset from the most stable computed form	0.000	eV/atom
formation energy from the elements	0.035	eV per atom

```
8
Lattice="6.0714 0.0000 0.0000 0.0000 3.5287 0.0000 -1.9611 0.0000 11.2556" Properties=species:S:1:pos:R:3 pbc="T T T"
Tb 0.0000 0.0000 0.0000
Tb 0.0100 0.0000 5.4607
Tb 1.0651 1.7644 11.1379
Tb 2.9939 1.7644 5.6141
Y -0.9849 1.7644 8.3592
Y 3.9975 0.0000 2.7371
Sc 1.0011 1.7644 2.7266
Sc 2.0434 0.0000 8.3752
```


No. 2
Material: La2MgAl2Pd5
Method: DFT, PBE
State: relaxed

Calculated values
formation energy from the elements	-0.731	eV per atom

```
20
Lattice="10.6808 0.0000 0.0000 0.0000 10.6808 0.0000 0.0000 0.0000 3.4018" Properties=species:S:1:pos:R:3 pbc="T T T"
La 1.8911 3.4493 0.0000
La 3.4493 8.7897 0.0000
La 7.2314 1.8911 0.0000
La 8.7897 7.2314 0.0000
Mg 0.0000 0.0000 0.0000
Mg 5.3404 5.3404 0.0000
Al 1.3187 6.6590 0.0000
Al 4.0217 1.3187 0.0000
Al 6.6590 9.3621 0.0000
Al 9.3621 4.0217 0.0000
Pd 0.0000 5.3404 1.7009
Pd 0.6326 8.4583 1.7009
Pd 2.2224 0.6326 1.7009
Pd 3.1180 5.9730 1.7009
Pd 4.7078 3.1180 1.7009
Pd 5.3404 0.0000 1.7009
Pd 5.9730 7.5628 1.7009
Pd 7.5628 4.7078 1.7009
Pd 8.4583 10.0482 1.7009
Pd 10.0482 2.2224 1.7009
```


No. 3
Material: TlSnO2
Method: DFT, PBE
State: relaxed

Calculated values
offset from the most stable computed form	0.609	eV/atom
raw formation energy	-500	meV per atom

```
4
Lattice="3.0501 0.0000 0.0000 0.0000 3.0501 0.0000 0.0000 0.0000 6.8831" Properties=species:S:1:pos:R:3 pbc="T T T"
Tl 0.0000 0.0000 0.0000
Sn 0.0000 0.0000 3.4415
O 1.5251 1.5251 2.1982
O 1.5251 1.5251 4.6849
```


Number 1: calculated density 6.2 Mg/m³, VASP energy -5.48 eV/atom. Number 2: calculated density 7.6 Mg/m³, VASP energy -5.22 eV/atom. Number 3: calculated density 9.2 Mg/m³, VASP energy -4.57 eV/atom.